{
  "formula": "Ce2NbAs3Rh4",
  "functional": "GGA-PBE",
  "state": "optimized geometry",
  "lattice_angstrom": [[4.158, 0.000, 0.000], [0.000, 4.158, 0.000], [0.000, 0.000, 10.711]],
  "species": ["Ce", "Ce", "Nb", "As", "As", "As", "Rh", "Rh", "Rh", "Rh"],
  "fractional_positions": [[0.000, 0.500, 0.237], [0.500, 0.000, 0.763], [0.000, 0.000, 0.500], [0.000, 0.500, 0.865], [0.500, 0.000, 0.135], [0.500, 0.500, 0.500], [0.000, 0.000, 0.000], [0.000, 0.500, 0.637], [0.500, 0.000, 0.363], [0.500, 0.500, 0.000]],
  "formation_energy_kj_per_mol_atoms": -83,
  "magnetic_moment_mub_per_fu": 0.8,
  "dos_at_fermi_per_ev_atom": 1.10,
  "energy_ev_per_atom": -7.389,
  "rho_g_cm3": 9.05
}